MnInS2N after structural relaxation, computed with GGA-PBE.

Computed properties:
**DOS(E_F)**: 2.2 states/eV/f.u.
**ΔE_f (raw)**: 0.036 eV/atom
**Total energy**: -5.662 eV/atom

a = 4.799 Å, b = 4.799 Å, c = 3.537 Å
α = 90.00°, β = 90.00°, γ = 90.00°
Site moments in Bohr magnetons follow the coordinates.
Fractional positions:
S (0.000, 0.500, 0.000)  0.00
S (0.500, 0.000, 0.000)  0.00
In (0.500, 0.500, 0.500)  -0.01
N (0.000, 0.000, 0.500)  -0.29
Mn (0.000, 0.000, 0.000)  2.07

***

MnInSe2N after structural relaxation, computed with GGA-PBE.

Computed properties:
**Energy relative to the lowest polymorph listed for this composition**: 0.876 eV/atom
**DOS(E_F)**: 2.6 states/eV/f.u.
**ΔE_f (raw)**: 0.904 eV/atom
**Total energy**: -4.537 eV/atom

a = 5.373 Å, b = 5.373 Å, c = 4.128 Å
α = 90.00°, β = 90.00°, γ = 90.00°
Site moments in Bohr magnetons follow the coordinates.
Fractional positions:
N (0.000, 0.000, 0.500)  1.05
In (0.000, 0.000, 0.000)  -0.01
Se (0.000, 0.500, 0.000)  0.15
Se (0.500, 0.000, 0.000)  0.15
Mn (0.500, 0.500, 0.500)  4.48

***

MnInSeN2 after structural relaxation, computed with GGA-PBE.

Computed properties:
**Energy relative to the lowest polymorph listed for this composition**: 0.828 eV/atom
**DOS(E_F)**: 2.3 states/eV/f.u.
**ΔE_f (raw)**: 1.387 eV/atom
**Total energy**: -5.022 eV/atom

a = 4.166 Å, b = 4.166 Å, c = 5.838 Å
α = 90.00°, β = 90.00°, γ = 90.00°
Site moments in Bohr magnetons follow the coordinates.
Fractional positions:
N (0.000, 0.500, 0.000)  0.99
N (0.500, 0.000, 0.000)  0.99
Se (0.000, 0.000, 0.500)  0.17
In (0.000, 0.000, 0.000)  -0.01
Mn (0.500, 0.500, 0.500)  4.43